Record 1
## TlInPbF6 (PBE)

Data for TlInPbF6 after structural relaxation.

Calculated values
- Energy relative to the elements, uncorrected: -2.307 eV/atom
- Space group: No. 74

Lattice parameters (Å, degrees): 7.971 8.026 7.868 120.67 120.43 90.00
Sites, in units of the cell vectors:
F: 0.447 0.163 0.265
F: 0.817 0.163 0.265
F: 0.553 0.398 0.735
F: 0.429 0.179 0.858
F: 0.877 0.127 0.754
F: 0.183 0.398 0.735
F: 0.447 0.602 0.265
F: 0.123 0.873 0.246
F: 0.183 0.837 0.735
F: 0.817 0.602 0.265
F: 0.571 0.821 0.142
F: 0.553 0.837 0.735
Tl: 0.861 0.611 0.722
Tl: 0.139 0.389 0.278
In: 0.500 0.000 0.000
In: 0.500 0.500 0.000
Pb: 0.000 0.000 0.500
Pb: 0.500 0.000 0.500

=====

Record 2
## InPdF5 (PBE)

Data for InPdF5 after structural relaxation.

Calculated values
- Energy relative to the elements, uncorrected: -1.811 eV/atom
- Space group: No. 71

Lattice parameters (Å, degrees): 4.094 5.705 5.705 72.21 68.98 68.98
Sites, in units of the cell vectors:
In: 0.000 0.000 0.000
F: 0.745 0.255 0.255
F: 0.255 0.745 0.745
F: 0.000 0.313 0.687
F: 0.500 0.000 0.000
F: 0.000 0.687 0.313
Pd: 0.500 0.500 0.500

=====

Record 3
## In3PdF (PBE)

Data for In3PdF after structural relaxation.

Calculated values
- E above lowest polymorph: 0 meV/atom
- Energy relative to the elements, uncorrected: -0.612 eV/atom
- Space group: No. 221

Lattice parameters (Å, degrees): 5.169 5.169 5.169 90.00 90.00 90.00
Sites, in units of the cell vectors:
F: 0.500 0.500 0.500
In: 0.500 0.000 0.000
In: 0.000 0.000 0.500
In: 0.000 0.500 0.000
Pd: 0.000 0.000 0.000

=====

Record 4
## In3PdF (PBE)

Data for In3PdF after structural relaxation.

Calculated values
- E above lowest polymorph: 241 meV/atom
- Energy relative to the elements, uncorrected: -0.371 eV/atom
- Space group: No. 221

Lattice parameters (Å, degrees): 4.880 4.880 4.880 90.00 90.00 90.00
Sites, in units of the cell vectors:
In: 0.500 0.000 0.000
In: 0.000 0.000 0.500
In: 0.000 0.500 0.000
F: 0.000 0.000 0.000
Pd: 0.500 0.500 0.500

=====

Record 5
## InPd2F (PBE)

Data for InPd2F after structural relaxation.

Calculated values
- E above lowest polymorph: 0 meV/atom
- Energy relative to the elements, uncorrected: -0.584 eV/atom
- Space group: No. 225

Lattice parameters (Å, degrees): 4.465 4.465 4.465 60.00 60.00 60.00
Sites, in units of the cell vectors:
Pd: 0.750 0.750 0.750
Pd: 0.250 0.250 0.250
F: 0.000 0.000 0.000
In: 0.500 0.500 0.500

=====

Record 6
## InPdF (PBE)

Data for InPdF after structural relaxation.

Calculated values
- Energy relative to the elements, uncorrected: -0.896 eV/atom
- Space group: No. 38

Lattice parameters (Å, degrees): 3.119 3.247 11.670 90.00 90.00 118.70
Sites, in units of the cell vectors:
F: 0.709 0.418 0.364
F: 0.709 0.418 0.636
Pd: 0.178 0.357 0.170
Pd: 0.178 0.357 0.830
In: 0.505 0.010 0.000
In: 0.387 0.774 0.500

=====

Record 7
## InPd2F (PBE)

Data for InPd2F after structural relaxation.

Calculated values
- E above lowest polymorph: 54 meV/atom
- Energy relative to the elements, uncorrected: -0.530 eV/atom
- Space group: No. 122

Lattice parameters (Å, degrees): 6.983 6.983 5.631 51.68 51.68 90.00
Sites, in units of the cell vectors:
Pd: 0.595 0.125 0.250
Pd: 0.375 0.405 0.750
Pd: 0.875 0.845 0.750
Pd: 0.155 0.625 0.250
F: 0.250 0.750 0.500
F: 0.500 0.500 0.000
In: 0.750 0.250 0.500
In: 0.000 0.000 0.000

=====

Record 8
## InPd2PtF (PBE)

Data for InPd2PtF after structural relaxation.

Calculated values
- Energy relative to the elements, uncorrected: 0.257 eV/atom
- Space group: No. 123

Lattice parameters (Å, degrees): 5.015 4.049 5.015 90.00 90.00 90.00
Sites, in units of the cell vectors:
Pt: 0.500 0.500 0.500
Pd: 0.500 0.000 0.000
Pd: 0.000 0.000 0.500
F: 0.000 0.500 0.000
In: 0.000 0.000 0.000

=====

no.,uncorrected energy (eV/atom),magnetic moment (μB/cell)
1,-4.53,0.0
2,-4.28,1.0
3,-3.67,0.0
4,-3.43,0.0
5,-4.33,0.0
6,-4.16,0.0
7,-4.28,0.0
8,-3.95,0.0